Record 1
# Ca2CeIrO8

An optimized crystal structure of Ca2CeIrO8 (GGA-PBE, the Alexandria database).

Calculated values
Total energy, eV per atom: -6.866
Size of the total moment, μB/cell: 0.0
Formation energy from raw total energies, eV per atom: -1.994

Lattice parameters (Å, degrees): 5.0711 6.8879 5.0851 90.00 92.11 90.00
Space group P2/m (No. 10)
Inequivalent atoms, fractional coordinates:
Ca 0.0000 0.2473 0.0000 x2
Ce 0.5000 0.5000 0.5000 x1
Ir 0.5000 0.0000 0.5000 x1
O 0.2099 0.5000 0.2104 x2
O 0.2353 0.0000 0.2363 x2
O 0.3221 0.2041 0.6777 x4

Record 2
# CaCeIrPb

An optimized crystal structure of CaCeIrPb (GGA-PBE, the Alexandria database).

Calculated values
Total energy, eV per atom: -5.661
Size of the total moment, μB/cell: 0.3
Formation energy from the elements, eV/atom: -0.535

Lattice parameters (Å, degrees): 3.4792 3.4792 8.4288 90.00 90.00 90.00
Space group P4mm (No. 99)
Inequivalent atoms, fractional coordinates:
Ca 0.0000 0.0000 0.0000 x1
Ce 0.0000 0.0000 0.5940 x1
Ir 0.5000 0.5000 0.7730 x1
Pb 0.5000 0.5000 0.2888 x1

Record 3
# CaCeIrRh

An optimized crystal structure of CaCeIrRh (GGA-PBE, the Alexandria database).

Calculated values
Total energy, eV per atom: -6.579
Size of the total moment, μB/cell: 0.0
Formation energy from the elements, eV/atom: -0.542

Lattice parameters (Å, degrees): 6.8893 6.8893 6.8893 90.00 90.00 90.00
Space group F-43m (No. 216)
Inequivalent atoms, fractional coordinates:
Ca 0.0000 0.0000 0.0000 x4
Ce 0.0000 0.0000 0.5000 x4
Ir 0.2500 0.2500 0.7500 x4
Rh 0.2500 0.2500 0.2500 x4

Question: What is the total energy in the first record?
Answer: -6.866 eV per atom

Please write out number 3 again, unchanged.
# CaCeIrRh

An optimized crystal structure of CaCeIrRh (GGA-PBE, the Alexandria database).

Calculated values
Total energy, eV per atom: -6.579
Size of the total moment, μB/cell: 0.0
Formation energy from the elements, eV/atom: -0.542

Lattice parameters (Å, degrees): 6.8893 6.8893 6.8893 90.00 90.00 90.00
Space group F-43m (No. 216)
Inequivalent atoms, fractional coordinates:
Ca 0.0000 0.0000 0.0000 x4
Ce 0.0000 0.0000 0.5000 x4
Ir 0.2500 0.2500 0.7500 x4
Rh 0.2500 0.2500 0.2500 x4

Question: Which value of size of the total moment does entry 3 give?
Answer: 0.0 μB/cell